Computed, not measured: crystalline RbTl3Au8 at its relaxed geometry at the GGA-PBE level of DFT.

Values from the calculation:
total magnetization: 0.00 Bohr magnetons per cell
crystal system: trigonal
energy relative to the elements: -54 meV per atom
E_tot: -0.107 Ha/atom

Lattice parameters (Å, degrees): 5.7198 5.7198 10.1704 73.67 73.67 60.00
With the nearest neighbours (Å) after each atom.
Fractional coordinates of all 12 atoms:
Au  0.4391  0.9395  0.1824  6 Au 2.86-2.93
Au  0.1887  0.1887  0.4339  6 Au 2.93-2.96
Au  0.4352  0.9377  0.6894  6 Au 2.85-2.96
Au  0.4391  0.4391  0.1824  6 Au 2.86-2.93
Au  0.9395  0.4391  0.1824  6 Au 2.86-2.93
Au  0.9377  0.9377  0.6894  6 Au 2.85-2.96
Au  0.6883  0.6883  0.9352  6 Au 2.89-2.90
Au  0.9377  0.4352  0.6894  6 Au 2.85-2.96
Tl  0.0016  0.0016  0.9951  12 Au 3.35-3.38, 3 Tl 3.50, 1 Rb 3.66
Tl  0.3748  0.3748  0.8756  12 Au 3.35-3.38, 4 Tl 3.42-3.50
Tl  0.4935  0.4935  0.5196  12 Au 3.29-3.64, 1 Tl 3.42, 3 Rb 3.58
Rb  0.8749  0.8749  0.3753  12 Au 3.35-3.45, 4 Tl 3.58-3.66

---

Computed, not measured: crystalline Hg2MoPt at its relaxed geometry at the GGA-PBE level of DFT.

Values from the calculation:
total magnetization: 0.00 Bohr magnetons per cell
crystal system: orthorhombic
energy relative to the elements: 363 meV per atom
E above lowest polymorph: 0.234 eV per atom
E_tot: -0.147 Ha/atom

Lattice parameters (Å, degrees): 6.3734 6.3734 6.3734 154.44 134.37 53.02
With the nearest neighbours (Å) after each atom.
Fractional coordinates of all 4 atoms:
Pt  0.2856  0.7856  0.5000  2 Mo 2.60, 2 Pt 2.82
Mo  0.4771  0.4771  0.0000  2 Pt 2.60, 2 Mo 2.82, 4 Hg 2.89
Hg  0.0226  0.0226  0.0000  2 Hg 2.82, 4 Mo 2.89
Hg  0.7147  0.2147  0.5000  2 Hg 2.82, 4 Pt 2.96, 2 Mo 3.05

---

Computed, not measured: crystalline LiYCd at its relaxed geometry at the GGA-PBE level of DFT.

Values from the calculation:
total magnetization: 0.00 Bohr magnetons per cell
crystal system: orthorhombic
energy relative to the elements: -180 meV per atom
E above lowest polymorph: 0.008 eV per atom
E_tot: -0.120 Ha/atom

Lattice parameters (Å, degrees): 5.1545 3.6425 15.4151 90.00 90.00 90.00
With the nearest neighbours (Å) after each atom.
Fractional coordinates of all 12 atoms:
Li  0.2500  0.2503  0.7540  2 Cd 2.79-2.80
Li  0.2500  0.7497  0.2540  2 Cd 2.79-2.80
Li  0.7500  0.2497  0.2460  2 Cd 2.79-2.80
Li  0.7500  0.7503  0.7460  2 Cd 2.79-2.80
Cd  0.7501  0.2502  0.6084  2 Li 2.79-2.80
Cd  0.7499  0.7498  0.1084  2 Li 2.79-2.80
Cd  0.2499  0.7502  0.8916  2 Li 2.79-2.80
Cd  0.2501  0.2498  0.3916  2 Li 2.79-2.80
Y  0.7501  0.7498  0.4232  6 Cd 3.19-3.39, 2 Li 3.28, 2 Y 3.50
Y  0.2501  0.7502  0.5768  6 Cd 3.19-3.39, 2 Li 3.28, 2 Y 3.50
Y  0.7499  0.2502  0.9232  6 Cd 3.19-3.39, 2 Li 3.28, 2 Y 3.50
Y  0.2499  0.2498  0.0768  6 Cd 3.19-3.39, 2 Li 3.28, 2 Y 3.50

---

Computed, not measured: crystalline LaTm5Hg4 at its relaxed geometry at the GGA-PBE level of DFT.

Values from the calculation:
total magnetization: 0.00 Bohr magnetons per cell
crystal system: tetragonal
energy relative to the elements: -377 meV per atom
E_tot: -0.119 Ha/atom

Lattice parameters (Å, degrees): 3.6634 3.6634 19.8273 90.00 90.00 90.00
With the nearest neighbours (Å) after each atom.
Fractional coordinates of all 10 atoms:
La  0.0000  0.0000  0.0000  8 Tm 3.63, 4 La 3.66
Tm  0.5000  0.5000  0.3143  8 Hg 3.16-3.21
Tm  0.5000  0.5000  0.5000  8 Hg 3.19
Tm  0.5000  0.5000  0.1282  4 Hg 3.15
Tm  0.5000  0.5000  0.6857  8 Hg 3.16-3.21
Tm  0.5000  0.5000  0.8718  4 Hg 3.15
Hg  0.0000  0.0000  0.7813  8 Tm 3.15-3.21
Hg  0.0000  0.0000  0.2187  8 Tm 3.15-3.21
Hg  0.0000  0.0000  0.5943  8 Tm 3.16-3.19
Hg  0.0000  0.0000  0.4057  8 Tm 3.16-3.19

---

Computed, not measured: crystalline NaMg2MnS at its relaxed geometry at the GGA-PBE level of DFT.

Values from the calculation:
total magnetization: 4.07 Bohr magnetons per cell
crystal system: tetragonal
E_tot: -0.127 Ha/atom
raw formation energy: 0.1119 eV/atom

Lattice parameters (Å, degrees): 4.9157 5.0740 4.9157 90.00 90.00 90.00
With the nearest neighbours (Å) after each atom.
Fractional coordinates of all 5 atoms:
Mg  0.5000  0.0000  0.0000  2 S 2.46
Mg  0.0000  0.0000  0.5000  2 S 2.46
S  0.0000  0.0000  0.0000  4 Mg 2.46, 2 Na 2.54
Na  0.0000  0.5000  0.0000  2 S 2.54
Mn  0.5000  0.5000  0.5000  4 Na 3.48, 8 Mg 3.53

---

Computed, not measured: crystalline K3AgB2S6 at its relaxed geometry at the GGA-PBE level of DFT.

Values from the calculation:
total magnetization: 0.00 Bohr magnetons per cell
crystal system: trigonal
E_tot: -0.157 Ha/atom
raw formation energy: -0.5920 eV/atom

Lattice parameters (Å, degrees): 6.6292 6.6292 8.8157 90.00 90.00 120.00
With the nearest neighbours (Å) after each atom.
Fractional coordinates of all 12 atoms:
B  0.3333  0.6667  0.2940  3 S 1.81
B  0.6667  0.3333  0.7060  3 S 1.81
S  0.8244  0.1756  0.7124  1 B 1.81
S  0.1756  0.3512  0.2876  1 B 1.81
S  0.3512  0.1756  0.7124  1 B 1.81
S  0.1756  0.8244  0.2876  1 B 1.81
S  0.8244  0.6488  0.7124  1 B 1.81
S  0.6488  0.8244  0.2876  1 B 1.81
K  0.6667  0.3333  0.3426  1 B 3.20, 6 S 3.35
K  0.0000  0.0000  0.0000  6 S 3.24
K  0.3333  0.6667  0.6574  1 B 3.20, 6 S 3.35
Ag  0.0000  0.0000  0.5000  6 S 2.75

---

Computed, not measured: crystalline Hg3AsI at its relaxed geometry at the GGA-PBE level of DFT.

Values from the calculation:
total magnetization: 0.00 Bohr magnetons per cell
crystal system: cubic
E above lowest polymorph: 0.000 eV per atom
E_tot: -0.054 Ha/atom
raw formation energy: -0.0468 eV/atom

Lattice parameters (Å, degrees): 5.4363 5.4363 5.4363 90.00 90.00 90.00
With the nearest neighbours (Å) after each atom.
Fractional coordinates of all 5 atoms:
I  0.5000  0.5000  0.5000  12 Hg 3.84
Hg  0.5000  0.0000  0.0000  2 As 2.72
Hg  0.0000  0.5000  0.0000  2 As 2.72
Hg  0.0000  0.0000  0.5000  2 As 2.72
As  0.0000  0.0000  0.0000  6 Hg 2.72

---

Computed, not measured: crystalline Rb2CrAgI6 at its relaxed geometry at the GGA-PBE level of DFT.

Values from the calculation:
total magnetization: 3.00 Bohr magnetons per cell
crystal system: cubic
E above lowest polymorph: 0.017 eV per atom
E_tot: -0.115 Ha/atom
raw formation energy: -0.7479 eV/atom

Lattice parameters (Å, degrees): 8.1999 8.1999 8.1991 60.00 60.00 90.00
With the nearest neighbours (Å) after each atom.
Fractional coordinates of all 10 atoms:
I  0.2606  0.2606  0.0000  1 Cr 2.78, 1 Ag 3.02
I  0.7394  0.2606  0.0000  1 Cr 2.78, 1 Ag 3.02
I  0.7395  0.7395  0.5209  1 Cr 2.78, 1 Ag 3.02
I  0.7394  0.7394  0.0000  1 Cr 2.78, 1 Ag 3.02
I  0.2606  0.7394  0.0000  1 Cr 2.78, 1 Ag 3.02
I  0.2605  0.2605  0.4791  1 Cr 2.78, 1 Ag 3.02
Ag  0.0000  0.0000  0.0000  6 I 3.02
Rb  0.2500  0.7500  0.5000  12 I 4.10
Rb  0.7500  0.2500  0.5000  12 I 4.10
Cr  0.5000  0.5000  0.0000  6 I 2.78

---

Computed, not measured: crystalline CuIrPt2 at its relaxed geometry at the GGA-PBE level of DFT.

Values from the calculation:
total magnetization: 0.00 Bohr magnetons per cell
crystal system: orthorhombic
energy relative to the elements: -52 meV per atom
E above lowest polymorph: 0.000 eV per atom
E_tot: -0.232 Ha/atom

Lattice parameters (Å, degrees): 4.7631 4.7631 2.7355 90.00 90.00 110.00
With the nearest neighbours (Å) after each atom.
Fractional coordinates of all 4 atoms:
Pt  0.5000  0.5000  0.0000  4 Pt 2.73-2.74, 4 Ir 2.75, 4 Cu 2.75
Pt  0.0000  0.0000  0.0000  4 Pt 2.73-2.74, 4 Cu 2.75, 4 Ir 2.75
Cu  0.5000  0.0000  0.5000  2 Ir 2.73, 2 Cu 2.74, 8 Pt 2.75
Ir  0.0000  0.5000  0.5000  2 Cu 2.73, 2 Ir 2.74, 8 Pt 2.75

---

Computed, not measured: crystalline TiMo3Au at its relaxed geometry at the GGA-PBE level of DFT.

Values from the calculation:
total magnetization: 0.00 Bohr magnetons per cell
crystal system: cubic
energy relative to the elements: 2171 meV per atom
E above lowest polymorph: 0.792 eV per atom
E_tot: -0.241 Ha/atom

Lattice parameters (Å, degrees): 4.8216 4.8216 4.8216 90.00 90.00 90.00
With the nearest neighbours (Å) after each atom.
Fractional coordinates of all 5 atoms:
Au  0.0000  0.0000  0.0000  6 Mo 2.41
Mo  0.0000  0.0000  0.5000  2 Au 2.41
Mo  0.5000  0.0000  0.0000  2 Au 2.41
Mo  0.0000  0.5000  0.0000  2 Au 2.41
Ti  0.5000  0.5000  0.5000  12 Mo 3.41

---

Computed, not measured: crystalline NaLaSm2Se4 at its relaxed geometry at the GGA-PBE level of DFT.

Values from the calculation:
total magnetization: 0.00 Bohr magnetons per cell
crystal system: monoclinic
E_tot: -0.202 Ha/atom
raw formation energy: -1.8058 eV/atom

Lattice parameters (Å, degrees): 4.2045 7.2830 7.3993 109.08 90.00 90.00
With the nearest neighbours (Å) after each atom.
Fractional coordinates of all 8 atoms:
Se  0.0000  0.7511  0.2571  3 Sm 2.95-2.97, 2 Na 3.02, 1 La 3.03
Se  0.0000  0.2489  0.7429  3 Sm 2.95-2.97, 2 Na 3.02, 1 La 3.03
Se  0.5000  0.7439  0.7438  3 Sm 2.96-2.99, 1 Na 2.99, 2 La 3.03
Se  0.5000  0.2561  0.2562  3 Sm 2.96-2.99, 1 Na 2.99, 2 La 3.03
Na  0.5000  0.5000  0.0000  6 Se 2.99-3.02
Sm  0.0000  0.5000  0.5000  6 Se 2.95-2.96
Sm  0.5000  0.0000  0.5000  6 Se 2.97-2.99
La  0.0000  0.0000  0.0000  6 Se 3.03

---

Computed, not measured: crystalline ZrTa2In at its relaxed geometry at the GGA-PBE level of DFT.

Values from the calculation:
total magnetization: 0.00 Bohr magnetons per cell
crystal system: tetragonal
energy relative to the elements: 95 meV per atom
E_tot: -0.318 Ha/atom

Lattice parameters (Å, degrees): 5.5338 5.5338 5.5338 135.96 135.96 64.05
With the nearest neighbours (Å) after each atom.
Fractional coordinates of all 4 atoms:
Zr  0.2500  0.7500  0.5000  4 In 2.93, 8 Ta 3.13
In  0.7500  0.2500  0.5000  4 Zr 2.93, 8 Ta 3.13
Ta  0.5000  0.5000  0.0000  4 Ta 2.93, 4 Zr 3.13, 4 In 3.13
Ta  0.0000  0.0000  0.0000  4 Ta 2.93, 4 In 3.13, 4 Zr 3.13